# 1
{
  "formula": "Y2Tl2Hg3",
  "functional": "GGA-PBE",
  "state": "optimized geometry",
  "magnetic_moment_mub_per_cell": 0.00,
  "ef_ev_per_fu": -1.7,
  "crystal_system": "triclinic",
  "lattice_angstrom": [[-2.990, 4.208, -1.216], [2.584, -2.941, -3.544], [-5.978, -6.358, 1.496]],
  "species": ["Y", "Y", "Tl", "Tl", "Hg", "Hg", "Hg"],
  "frac_coords": [[0.768, 0.388, 0.150], [0.232, 0.612, 0.850], [0.276, 0.128, 0.403], [0.724, 0.872, 0.597], [0.000, 0.000, 0.000], [0.509, 0.260, 0.775], [0.491, 0.740, 0.225]]
}

---

# 2
{
  "formula": "Au3CCl",
  "functional": "GGA-PBE",
  "state": "optimized geometry",
  "magnetic_moment_mub_per_cell": 0.00,
  "polymorph_energy_mev_per_atom": 0.0,
  "formation_energy_uncorrected_ev_per_atom": 0.90,
  "crystal_system": "cubic",
  "lattice_angstrom": [[4.433, 0.000, 0.000], [0.000, 4.433, 0.000], [0.000, 0.000, 4.433]],
  "species": ["C", "Au", "Au", "Au", "Cl"],
  "frac_coords": [[0.000, 0.000, 0.000], [0.000, 0.500, 0.000], [0.000, 0.000, 0.500], [0.500, 0.000, 0.000], [0.500, 0.500, 0.500]]
}

---

# 3
{
  "formula": "Ta2ReIr",
  "functional": "GGA-PBE",
  "state": "optimized geometry",
  "magnetic_moment_mub_per_cell": 0.00,
  "ef_ev_per_fu": -1.1,
  "crystal_system": "orthorhombic",
  "lattice_angstrom": [[-2.891, 3.492, 2.709], [-5.252, -0.404, -0.374], [4.353, -2.682, 1.321]],
  "species": ["Ir", "Re", "Ta", "Ta"],
  "frac_coords": [[0.504, 0.504, 0.000], [0.240, 0.740, 0.500], [0.004, 0.004, 0.000], [0.753, 0.253, 0.500]]
}

---

# 4
{
  "formula": "NaH5CO4",
  "functional": "GGA-PBE",
  "state": "optimized geometry",
  "magnetic_moment_mub_per_cell": 0.04,
  "final_energy_ev_per_atom": -5.438,
  "crystal_system": "monoclinic",
  "lattice_angstrom": [[3.756, 0.000, 0.000], [0.000, 7.742, -0.082], [0.000, 2.867, 7.524]],
  "species": ["Na", "Na", "H", "H", "H", "H", "H", "H", "H", "H", "H", "H", "C", "C", "O", "O", "O", "O", "O", "O", "O", "O"],
  "frac_coords": [[0.186, 0.810, 0.657], [0.686, 0.190, 0.343], [0.592, 0.671, 0.462], [0.092, 0.329, 0.538], [0.706, 0.506, 0.633], [0.206, 0.494, 0.367], [0.269, 0.674, 0.067], [0.769, 0.326, 0.933], [0.028, 0.538, 0.002], [0.528, 0.462, 0.998], [0.029, 0.950, 0.106], [0.529, 0.050, 0.894], [0.185, 0.891, 0.231], [0.685, 0.109, 0.769], [0.185, 0.980, 0.336], [0.685, 0.020, 0.664], [0.349, 0.740, 0.251], [0.849, 0.260, 0.749], [0.226, 0.631, 0.965], [0.726, 0.369, 0.035], [0.681, 0.641, 0.585], [0.181, 0.359, 0.415]]
}

---

# 5
{
  "formula": "Mn3NbRh4",
  "functional": "GGA-PBE",
  "state": "optimized geometry",
  "magnetic_moment_mub_per_cell": 27.82,
  "ef_ev_per_fu": -2.3,
  "crystal_system": "tetragonal",
  "lattice_angstrom": [[4.383, 0.000, 0.000], [0.000, 6.169, 0.000], [0.000, 0.000, 8.765]],
  "species": ["Nb", "Nb", "Mn", "Mn", "Mn", "Mn", "Mn", "Mn", "Rh", "Rh", "Rh", "Rh", "Rh", "Rh", "Rh", "Rh"],
  "frac_coords": [[0.000, 0.500, 0.000], [0.000, 0.500, 0.500], [0.000, 0.000, 0.000], [0.000, 0.000, 0.500], [0.500, 0.000, 0.750], [0.500, 0.000, 0.250], [0.500, 0.500, 0.750], [0.500, 0.500, 0.250], [0.500, 0.752, 0.000], [0.500, 0.752, 0.500], [0.500, 0.248, 0.000], [0.500, 0.248, 0.500], [0.000, 0.752, 0.750], [0.000, 0.752, 0.250], [0.000, 0.248, 0.250], [0.000, 0.248, 0.750]]
}

---

# 6
{
  "formula": "TlAsAu2",
  "functional": "GGA-PBE",
  "state": "optimized geometry",
  "magnetic_moment_mub_per_cell": 0.00,
  "ef_ev_per_fu": 0.8,
  "crystal_system": "orthorhombic",
  "lattice_angstrom": [[5.225, 0.001, 0.000], [-0.020, 5.225, 0.000], [0.000, 0.000, 3.113]],
  "species": ["Tl", "Au", "Au", "As"],
  "frac_coords": [[0.500, 0.000, 0.500], [0.000, 0.000, 0.000], [0.500, 0.500, 0.000], [0.000, 0.500, 0.500]]
}

---

# 7
{
  "formula": "Pm2SeO",
  "functional": "GGA-PBE",
  "state": "optimized geometry",
  "magnetic_moment_mub_per_cell": 0.00,
  "polymorph_energy_mev_per_atom": 119.4,
  "formation_energy_uncorrected_ev_per_atom": -2.10,
  "crystal_system": "monoclinic",
  "lattice_angstrom": [[-1.926, -5.431, -1.881], [5.210, -1.202, -1.865], [2.235, -4.098, 9.541]],
  "species": ["Pm", "Pm", "Pm", "Pm", "Pm", "Pm", "Pm", "Pm", "Se", "Se", "Se", "Se", "O", "O", "O", "O"],
  "frac_coords": [[0.795, 0.010, 0.900], [0.205, 0.990, 0.100], [0.795, 0.490, 0.600], [0.205, 0.510, 0.400], [0.808, 0.475, 0.143], [0.192, 0.525, 0.857], [0.808, 0.025, 0.357], [0.192, 0.975, 0.643], [0.303, 0.010, 0.373], [0.697, 0.990, 0.627], [0.303, 0.490, 0.127], [0.697, 0.510, 0.873], [0.178, 0.555, 0.631], [0.822, 0.445, 0.369], [0.178, 0.945, 0.869], [0.822, 0.055, 0.131]]
}

---

# 8
{
  "formula": "Pm2SmYSc",
  "functional": "GGA-PBE",
  "state": "optimized geometry",
  "magnetic_moment_mub_per_cell": 0.00,
  "ef_ev_per_fu": 1.7,
  "crystal_system": "orthorhombic",
  "lattice_angstrom": [[-0.773, -7.104, 0.427], [7.549, -0.630, 3.178], [-5.948, 0.868, 3.685]],
  "species": ["Pm", "Pm", "Pm", "Pm", "Sm", "Sm", "Y", "Y", "Sc", "Sc"],
  "frac_coords": [[0.500, 0.301, 0.000], [0.000, 0.699, 0.000], [0.500, 0.699, 0.000], [0.000, 0.301, 0.000], [0.250, 0.722, 0.444], [0.750, 0.278, 0.556], [0.750, 0.747, 0.495], [0.250, 0.253, 0.505], [0.250, 0.981, 0.963], [0.750, 0.019, 0.037]]
}